(1)
# PBE Al2TlTe3, relaxed
data_Al2TlTe3
_cell_length_a 24.6498
_cell_length_b 4.9171
_cell_length_c 7.2660
_cell_angle_alpha 90.00
_cell_angle_beta 104.12
_cell_angle_gamma 90.00
_symmetry_space_group_name_H-M 'C 1 2/m 1'
_symmetry_Int_Tables_number 12
_symmetry_space_group_name_Hall '-C 2y'
loop_
_atom_site_label
_atom_site_type_symbol
_atom_site_fract_x
_atom_site_fract_y
_atom_site_fract_z
Al1 Al 0.0615 0.0000 0.4276
Al2 Al 0.2041 0.5000 0.5321
Tl1 Tl 0.1348 0.5000 0.9019
Te1 Te 0.0456 0.0000 0.7757
Te2 Te 0.0977 0.5000 0.3287
Te3 Te 0.2266 0.0000 0.7081
# Calculated total energy   -3.511 eV per atom
# Formation energy (no corrections)   -298.7 meV/atom



(2)
# PBE ZnCr2Bi, relaxed
data_ZnCr2Bi
_cell_length_a 3.9337
_cell_length_b 3.9337
_cell_length_c 18.5203
_cell_angle_alpha 90.00
_cell_angle_beta 90.00
_cell_angle_gamma 90.00
_symmetry_space_group_name_H-M 'I -4 2 d'
_symmetry_Int_Tables_number 122
_symmetry_space_group_name_Hall 'I -4 2bw'
loop_
_atom_site_label
_atom_site_type_symbol
_atom_site_fract_x
_atom_site_fract_y
_atom_site_fract_z
Zn1 Zn 0.0000 0.0000 0.0000
Cr1 Cr 0.1552 0.2500 0.1250
Bi1 Bi 0.0000 0.0000 0.5000
# Energy relative to the elements   0.84 eV per atom
# Calculated total energy   -5.261 eV per atom



(3)
# PBE BeSb2H, relaxed
data_BeSb2H
_cell_length_a 5.5554
_cell_length_b 5.5554
_cell_length_c 9.9774
_cell_angle_alpha 90.00
_cell_angle_beta 90.00
_cell_angle_gamma 90.00
_symmetry_space_group_name_H-M 'I -4 2 d'
_symmetry_Int_Tables_number 122
_symmetry_space_group_name_Hall 'I -4 2bw'
loop_
_atom_site_label
_atom_site_type_symbol
_atom_site_fract_x
_atom_site_fract_y
_atom_site_fract_z
Be1 Be 0.0000 0.0000 0.0000
Sb1 Sb 0.2179 0.2500 0.6250
H1 H 0.0000 0.0000 0.5000
# Calculated total energy   -3.273 eV per atom



(4)
# PBE CsSmFeCl6, relaxed
data_CsSmFeCl6
_cell_length_a 6.8497
_cell_length_b 11.8642
_cell_length_c 7.7569
_cell_angle_alpha 90.00
_cell_angle_beta 90.08
_cell_angle_gamma 90.00
_symmetry_space_group_name_H-M 'C 1 2 1'
_symmetry_Int_Tables_number 5
_symmetry_space_group_name_Hall 'C 2y'
loop_
_atom_site_label
_atom_site_type_symbol
_atom_site_fract_x
_atom_site_fract_y
_atom_site_fract_z
Cs1 Cs 0.0000 0.0000 0.0000
Sm1 Sm 0.0000 0.3337 0.5000
Fe1 Fe 0.0000 0.6668 0.5000
Cl1 Cl 0.1187 0.5113 0.6941
Cl2 Cl 0.1719 0.8049 0.6921
Cl3 Cl 0.2058 0.1828 0.6912
# Calculated total energy   -4.490 eV per atom
# Formation energy (no corrections)   -1699.8 meV/atom



(5)
# PBE Pm6Tl5Sb, relaxed
data_Pm6Tl5Sb
_cell_length_a 5.2633
_cell_length_b 15.8917
_cell_length_c 8.3449
_cell_angle_alpha 90.00
_cell_angle_beta 90.00
_cell_angle_gamma 90.00
_symmetry_space_group_name_H-M 'C m m m'
_symmetry_Int_Tables_number 65
_symmetry_space_group_name_Hall '-C 2 2'
loop_
_atom_site_label
_atom_site_type_symbol
_atom_site_fract_x
_atom_site_fract_y
_atom_site_fract_z
Pm1 Pm 0.0000 0.0000 0.2430
Pm2 Pm 0.0000 0.3369 0.2516
Tl1 Tl 0.0000 0.1662 0.5000
Tl2 Tl 0.0000 0.1764 0.0000
Tl3 Tl 0.0000 0.5000 0.5000
Sb1 Sb 0.0000 0.5000 0.0000
# Calculated total energy   -4.175 eV per atom
# Formation energy (no corrections)   -470.6 meV/atom



(6)
# PBE NaCa2Mn, relaxed
data_NaCa2Mn
_cell_length_a 7.8834
_cell_length_b 7.8834
_cell_length_c 7.8834
_cell_angle_alpha 90.00
_cell_angle_beta 90.00
_cell_angle_gamma 90.00
_symmetry_space_group_name_H-M 'F m -3 m'
_symmetry_Int_Tables_number 225
_symmetry_space_group_name_Hall '-F 4 2 3'
loop_
_atom_site_label
_atom_site_type_symbol
_atom_site_fract_x
_atom_site_fract_y
_atom_site_fract_z
Na1 Na 0.0000 0.0000 0.0000
Ca1 Ca 0.2500 0.2500 0.2500
Mn1 Mn 0.0000 0.0000 0.5000
# Energy relative to the elements   0.36 eV per atom
# Calculated total energy   -3.263 eV per atom



(7)
# PBE MnBiSe2, relaxed
data_MnBiSe2
_cell_length_a 6.7963
_cell_length_b 11.5466
_cell_length_c 6.0642
_cell_angle_alpha 90.00
_cell_angle_beta 114.01
_cell_angle_gamma 90.00
_symmetry_space_group_name_H-M 'C 1 2/c 1'
_symmetry_Int_Tables_number 15
_symmetry_space_group_name_Hall '-C 2yc'
loop_
_atom_site_label
_atom_site_type_symbol
_atom_site_fract_x
_atom_site_fract_y
_atom_site_fract_z
Mn1 Mn 0.0000 0.2475 0.2500
Bi1 Bi 0.0000 0.2655 0.7500
Se1 Se 0.2145 0.1058 0.5608
# Calculated total energy   -5.200 eV per atom
# Formation energy (no corrections)   -195.2 meV/atom



(8)
# PBE ZnSiGeS2, relaxed
data_ZnSiGeS2
_cell_length_a 4.5153
_cell_length_b 4.5153
_cell_length_c 4.9866
_cell_angle_alpha 90.00
_cell_angle_beta 90.00
_cell_angle_gamma 90.00
_symmetry_space_group_name_H-M 'P 4/m m m'
_symmetry_Int_Tables_number 123
_symmetry_space_group_name_Hall '-P 4 2'
loop_
_atom_site_label
_atom_site_type_symbol
_atom_site_fract_x
_atom_site_fract_y
_atom_site_fract_z
Zn1 Zn 0.0000 0.0000 0.0000
Si1 Si 0.5000 0.5000 0.5000
Ge1 Ge 0.5000 0.5000 0.0000
S1 S 0.0000 0.5000 0.5000
# Calculated total energy   -3.526 eV per atom
# Formation energy (no corrections)   388.0 meV/atom